1.
6
Lattice="0.000 3.575 3.575 3.575 0.000 3.575 3.575 3.575 0.000" Properties=species:S:1:pos:R:3 comment="Cu4HgSe, optimized geometry, DFT PBE" vol_a3_per_atom=15.2 rho_g_cm3=9.699 space_group=F-43m formation_energy_uncorrected_ev_per_atom=0.194 pbc="T T T"
Cu 2.683 2.683 4.468
Cu 2.683 4.468 2.683
Cu 4.468 4.468 4.468
Cu 4.468 2.683 2.683
Hg 1.788 1.788 1.788
Se 0.000 0.000 0.000


2.
4
Lattice="-2.582 2.995 2.909 0.752 -3.225 3.624 2.394 1.366 0.718" Properties=species:S:1:pos:R:3 comment="Cu2HgSe, optimized geometry, DFT PBE" vol_a3_per_atom=17.1 rho_g_cm3=9.850 space_group=Cmmm formation_energy_uncorrected_ev_per_atom=0.256 pbc="T T T"
Cu 0.000 0.000 0.000
Cu -0.915 -0.115 3.266
Hg -0.094 2.180 1.813
Se 1.573 -0.929 2.171


3.
4
Lattice="4.240 -0.265 -0.188 2.518 3.421 -0.188 0.316 0.148 6.150" Properties=species:S:1:pos:R:3 comment="Cu2HgSe, optimized geometry, DFT PBE" vol_a3_per_atom=23.4 rho_g_cm3=7.217 space_group=Cm formation_energy_uncorrected_ev_per_atom=0.045 pbc="T T T"
Cu 0.189 0.088 0.003
Cu 2.395 1.119 0.356
Hg 2.957 1.381 2.898
Se 5.070 2.368 5.403


4.
6
Lattice="3.019 -1.856 4.752 -1.913 1.358 5.444 -2.265 -4.226 3.486" Properties=species:S:1:pos:R:3 comment="CuHg4Se, optimized geometry, DFT PBE" vol_a3_per_atom=24.5 rho_g_cm3=10.652 space_group=F-43m formation_energy_uncorrected_ev_per_atom=0.507 pbc="T T T"
Cu 0.000 0.000 0.000
Hg -1.391 -1.093 7.852
Hg 1.075 -2.700 7.506
Hg -1.567 -3.884 6.874
Hg -0.435 -1.772 5.131
Se -0.869 -3.543 10.261


5.
10
Lattice="-1.502 -2.736 5.990 6.459 0.585 1.886 -0.791 3.792 1.534" Properties=species:S:1:pos:R:3 comment="Cu2Hg2Se, optimized geometry, DFT PBE" vol_a3_per_atom=19.0 relative_energy_ev_per_atom=0.000 rho_g_cm3=10.610 space_group=P4/mbm formation_energy_uncorrected_ev_per_atom=0.170 pbc="T T T"
Cu 5.004 -0.478 3.762
Cu 2.859 -1.972 6.350
Cu -0.046 -1.674 4.114
Cu 2.098 -0.180 1.526
Hg 3.616 1.849 2.952
Hg 4.058 0.589 6.295
Hg 0.551 -0.209 6.459
Hg 0.109 1.051 3.115
Se 0.000 0.000 0.000
Se 2.479 -1.076 3.938


6.
14
Lattice="-4.354 -2.012 -4.976 2.602 -6.170 0.217 -7.008 -2.875 2.309" Properties=species:S:1:pos:R:3 comment="Cu2Hg2Se3, optimized geometry, DFT PBE" vol_a3_per_atom=23.3 rho_g_cm3=7.775 space_group=P2_1/c formation_energy_uncorrected_ev_per_atom=-0.054 pbc="T T T"
Cu -5.951 -5.674 -1.084
Cu -4.051 -8.605 -3.775
Cu -4.709 -2.451 1.326
Cu -2.809 -5.382 -1.365
Hg -8.020 -8.320 -2.586
Hg -5.407 -8.349 -0.061
Hg -3.353 -2.707 -2.388
Hg -0.740 -2.736 0.137
Se -0.876 -4.091 -2.379
Se 0.000 0.000 0.000
Se -7.216 -3.895 -2.140
Se -4.467 -6.398 -2.859
Se -4.293 -4.658 0.410
Se -1.544 -7.161 -0.309